Record 1
Computed, not measured: a relaxed structure of HfGaNiAs at the PBE level of DFT.

## Properties
spin magnetization	0.0	μB per cell
calculated formation energy	-0.400	eV/atom
SG	P4mm, No. 99
polymorph energy (0 for the lowest one)	0.085	eV per atom

a b c (Å): 3.449 3.449 5.569
angles (deg): 90.00 90.00 90.00
Atoms (fractional coordinates):
Hf  0.500  0.500  0.400
Ga  0.500  0.500  0.912
Ni  0.000  0.000  0.100
As  0.000  0.000  0.610


Record 2
Computed, not measured: a relaxed structure of HfGaNiAs at the PBE level of DFT.

## Properties
spin magnetization	0.0	μB per cell
calculated formation energy	-0.479	eV/atom
SG	Cm, No. 8
polymorph energy (0 for the lowest one)	0.007	eV per atom

a b c (Å): 3.490 3.748 10.712
angles (deg): 90.00 109.69 90.00
Atoms (fractional coordinates):
Hf  0.667  0.000  0.721
Hf  0.667  0.500  0.221
Ga  0.473  0.000  0.010
Ga  0.473  0.500  0.510
Ni  0.921  0.000  0.465
Ni  0.921  0.500  0.965
As  0.242  0.000  0.293
As  0.242  0.500  0.793


Record 3
Computed, not measured: a relaxed structure of HfGaNiAs at the PBE level of DFT.

## Properties
spin magnetization	0.0	μB per cell
calculated formation energy	-0.178	eV/atom
SG	P1, No. 1
polymorph energy (0 for the lowest one)	0.308	eV per atom

a b c (Å): 3.565 4.593 5.365
angles (deg): 75.17 90.10 67.31
Atoms (fractional coordinates):
Hf  0.888  0.902  0.672
Ga  0.751  0.179  0.115
Ni  0.200  0.280  0.783
As  0.554  0.570  0.452


Record 4
Computed, not measured: a relaxed structure of HfGaNiAs at the PBE level of DFT.

## Properties
spin magnetization	0.0	μB per cell
calculated formation energy	-0.472	eV/atom
SG	Pm, No. 6
polymorph energy (0 for the lowest one)	0.013	eV per atom

a b c (Å): 3.504 3.564 5.588
angles (deg): 90.00 108.37 90.00
Atoms (fractional coordinates):
Hf  0.851  0.500  0.423
Ga  0.172  0.000  0.066
Ni  0.604  0.500  0.929
As  0.442  0.000  0.605


Record 5
Computed, not measured: a relaxed structure of HfGaNiAs at the PBE level of DFT.

## Properties
spin magnetization	0.0	μB per cell
calculated formation energy	-0.474	eV/atom
SG	Pm, No. 6
polymorph energy (0 for the lowest one)	0.011	eV per atom

a b c (Å): 4.170 3.852 4.667
angles (deg): 90.00 109.30 90.00
Atoms (fractional coordinates):
Hf  0.661  0.000  0.468
Ga  0.910  0.500  0.031
Ni  0.090  0.500  0.576
As  0.362  0.000  0.878


Record 6
Computed, not measured: a relaxed structure of HfGaNiAs at the PBE level of DFT.

## Properties
spin magnetization	0.0	μB per cell
calculated formation energy	-0.312	eV/atom
SG	P-1, No. 2
polymorph energy (0 for the lowest one)	0.173	eV per atom

a b c (Å): 2.883 4.875 5.115
angles (deg): 64.94 89.75 89.25
Atoms (fractional coordinates):
Hf  0.000  0.500  0.500
Ga  0.500  0.500  0.000
Ni  0.500  0.000  0.000
As  0.500  0.000  0.500